1.
YPu2Pt9: relaxed, PBE.

Summary:
- ΔH_f (0 K): -0.775 eV/atom

Unit cell a=5.399 b=5.399 c=9.446 alpha=73.39 beta=73.39 gamma=60.00
Fractional coordinates of all 12 atoms:
Pt (0.414, 0.414, 0.254)
Pt (0.333, 0.333, 0.001)
Pu (0.858, 0.858, 0.426)
Pt (0.414, 0.919, 0.254)
Pt (0.081, 0.586, 0.746)
Pt (0.586, 0.586, 0.746)
Pt (0.586, 0.081, 0.746)
Pt (0.500, 0.500, 0.500)
Pt (0.667, 0.667, 0.999)
Y (0.000, 0.000, 0.000)
Pu (0.142, 0.142, 0.574)
Pt (0.919, 0.414, 0.254)

2.
YPuPt2: relaxed, PBE.

Summary:
- ΔH_f (0 K): -0.859 eV/atom

Unit cell a=4.051 b=4.051 c=7.229 alpha=73.73 beta=73.73 gamma=60.00
Fractional coordinates of all 4 atoms:
Pt (0.251, 0.251, 0.248)
Pt (0.083, 0.083, 0.750)
Pu (0.669, 0.669, 0.993)
Y (0.497, 0.497, 0.509)